A plane-wave DFT calculation with GGA-PBEsol was carried out for an optimized crystal structure of YPt3.

a b c (Å): 2.9013 2.9013 9.2690
angles (deg): 90.00 90.00 120.00
With the nearest neighbours (Å) after each atom.
Element x y z (fractional)
Y (0.0000, 0.0000, 0.0000)  6 Pt 2.89, 6 Y 2.90
Pt (0.0000, 0.0000, 0.5000)  12 Pt 2.83-2.90
Pt (0.3333, 0.6667, 0.2542)  9 Pt 2.83-2.90, 3 Y 2.89
Pt (0.3333, 0.6667, 0.7458)  9 Pt 2.83-2.90, 3 Y 2.89

Output
- formation enthalpy at 0 K (eV/atom) = -0.11
- calculated density (g/cm3) = 16.6